1.
PBE Tl3SeCl6, relaxed; energy relative to the elements, uncorrected = -61.5 kJ/mol of atoms; E = -56.08 eV per cell; density = 4.0 g cm⁻³; symmetry = Cmc2_1, No. 36; spin magnetization = 1.00 μB/f.u.
1.0
7.641 0.000 0.000
0.000 9.845 0.834
0.000 -1.384 9.783
Tl Cl Se
6 12 2
direct
0.016 0.126 0.351
0.016 0.649 0.874
0.516 0.874 0.649
0.438 0.401 0.599
0.938 0.599 0.401
0.516 0.351 0.126
0.784 0.211 0.789
0.736 0.326 0.379
0.682 0.894 0.362
0.182 0.106 0.638
0.736 0.621 0.674
0.373 0.019 0.981
0.873 0.981 0.019
0.236 0.379 0.326
0.236 0.674 0.621
0.682 0.638 0.106
0.284 0.789 0.211
0.182 0.362 0.894
0.022 0.128 0.872
0.522 0.872 0.128

---

2.
PBE Ac2C2O, relaxed; energy relative to the elements, uncorrected = -101.6 kJ/mol of atoms; E = -73.78 eV per cell; density = 7.8 g cm⁻³; symmetry = P2_1/m, No. 11; spin magnetization = 0.00 μB/f.u.
1.0
4.325 0.000 -0.380
0.000 5.582 0.000
-0.380 0.000 8.695
O Ac C
2 4 4
direct
0.473 0.250 0.354
0.523 0.750 0.644
0.444 0.750 0.358
0.552 0.250 0.640
0.822 0.250 0.134
0.175 0.750 0.864
0.064 0.250 0.832
0.932 0.750 0.166
0.680 0.750 0.064
0.317 0.250 0.935

---

3.
PBE YNbNF2, relaxed; energy relative to the elements, uncorrected = -136.2 kJ/mol of atoms; E = -35.66 eV per cell; ΔE to the lowest computed polymorph = 0 meV per atom; density = 5.2 g cm⁻³; symmetry = P4/mmm, No. 123; spin magnetization = 2.11 μB/f.u.
1.0
4.258 0.000 0.000
0.000 4.258 0.000
0.000 0.000 4.153
Nb N F Y
1 1 2 1
direct
0.000 0.000 0.000
0.000 0.000 0.500
0.000 0.500 0.000
0.500 0.000 0.000
0.500 0.500 0.500

---

The lowest E belongs to which entry?
Ac2C2O

---

Copy entry 3 word for word.
PBE YNbNF2, relaxed; energy relative to the elements, uncorrected = -136.2 kJ/mol of atoms; E = -35.66 eV per cell; ΔE to the lowest computed polymorph = 0 meV per atom; density = 5.2 g cm⁻³; symmetry = P4/mmm, No. 123; spin magnetization = 2.11 μB/f.u.
1.0
4.258 0.000 0.000
0.000 4.258 0.000
0.000 0.000 4.153
Nb N F Y
1 1 2 1
direct
0.000 0.000 0.000
0.000 0.000 0.500
0.000 0.500 0.000
0.500 0.000 0.000
0.500 0.500 0.500

---

Repeat the second record exactly.
PBE Ac2C2O, relaxed; energy relative to the elements, uncorrected = -101.6 kJ/mol of atoms; E = -73.78 eV per cell; density = 7.8 g cm⁻³; symmetry = P2_1/m, No. 11; spin magnetization = 0.00 μB/f.u.
1.0
4.325 0.000 -0.380
0.000 5.582 0.000
-0.380 0.000 8.695
O Ac C
2 4 4
direct
0.473 0.250 0.354
0.523 0.750 0.644
0.444 0.750 0.358
0.552 0.250 0.640
0.822 0.250 0.134
0.175 0.750 0.864
0.064 0.250 0.832
0.932 0.750 0.166
0.680 0.750 0.064
0.317 0.250 0.935

---

What is the formula in the second record?
Ac2C2O